--- w ---
DFT (PBE) results for crystalline ZnCoHg at its relaxed geometry.

## Properties
* space group: F-43m, No. 216

a b c (Å): 4.212 4.212 4.212
angles (deg): 60.00 60.00 60.00
Fractional positions:
1 Co 0.750 0.750 0.750
2 Hg 0.000 0.000 0.000
3 Zn 0.500 0.500 0.500

***

--- x ---
DFT (PBE) results for crystalline ZnCoHg at its relaxed geometry.

## Properties
* space group: I4mm, No. 107

a b c (Å): 5.526 5.526 3.008
angles (deg): 74.21 74.21 31.59
Fractional positions:
1 Co 0.017 0.017 0.983
2 Hg 0.343 0.343 0.657
3 Zn 0.641 0.641 0.359

***

--- y ---
DFT (PBE) results for crystalline ZnCoHg at its relaxed geometry.

## Properties
* space group: P3m1, No. 156

a b c (Å): 4.361 4.361 2.847
angles (deg): 90.00 90.00 120.00
Last column: magnetic moment on the atom in μB.
Fractional positions:
1 Co 0.000 0.000 0.910  1.35
2 Hg 0.667 0.333 0.358  -0.03
3 Zn 0.333 0.667 0.732  -0.03

***

Least stable structure among those shown: w.